Computed, not measured: SrTbSi3Au after structural relaxation at the PBE-GGA level of DFT.

Values from the calculation:
electronic total energy: -238.875 eV per cell

abc: 8.299 8.649 14.475
angles: 90.00 90.00 90.00
Space group Fmmm (No. 69)
Symmetry-distinct sites (fractional):
Sr 0.250 0.250 0.250 [8 per cell]
Tb 0.000 0.241 0.000 [8 per cell]
Si 0.000 0.000 0.161 [8 per cell]
Si 0.246 0.000 0.080 [16 per cell]
Au 0.000 0.000 0.335 [8 per cell]

Computed, not measured: SrYSi3Au after structural relaxation at the PBE-GGA level of DFT.

Values from the calculation:
electronic total energy: -253.439 eV per cell

abc: 8.304 8.621 14.484
angles: 90.00 90.00 90.00
Space group Fmmm (No. 69)
Symmetry-distinct sites (fractional):
Sr 0.250 0.250 0.250 [8 per cell]
Y 0.000 0.241 0.000 [8 per cell]
Si 0.000 0.000 0.161 [8 per cell]
Si 0.246 0.000 0.080 [16 per cell]
Au 0.000 0.000 0.335 [8 per cell]

Computed, not measured: SrZn2SiAu after structural relaxation at the PBE-GGA level of DFT.

Values from the calculation:
electronic total energy: -30.331 eV per cell

abc: 4.296 4.296 11.018
angles: 90.00 90.00 90.00
Space group I4mm (No. 107)
Symmetry-distinct sites (fractional):
Sr 0.000 0.000 0.000 [2 per cell]
Zn 0.000 0.500 0.260 [4 per cell]
Si 0.000 0.000 0.384 [2 per cell]
Au 0.000 0.000 0.612 [2 per cell]

Computed, not measured: Ta2Si2Au after structural relaxation at the PBE-GGA level of DFT.

Values from the calculation:
electronic total energy: -75.768 eV per cell

abc: 3.609 3.609 12.851
angles: 90.00 90.00 90.00
Space group I4/mmm (No. 139)
Symmetry-distinct sites (fractional):
Ta 0.000 0.000 0.104 [4 per cell]
Si 0.000 0.500 0.250 [4 per cell]
Au 0.000 0.000 0.500 [2 per cell]

Computed, not measured: TaSi2Au after structural relaxation at the PBE-GGA level of DFT.

Values from the calculation:
electronic total energy: -96.648 eV per cell

abc: 6.439 6.439 6.439
angles: 90.00 90.00 90.00
Space group F-43m (No. 216)
Symmetry-distinct sites (fractional):
Ta 0.000 0.000 0.000 [4 per cell]
Si 0.000 0.000 0.500 [4 per cell]
Si 0.250 0.250 0.750 [4 per cell]
Au 0.250 0.250 0.250 [4 per cell]

Computed, not measured: TaSiAu after structural relaxation at the PBE-GGA level of DFT.

Values from the calculation:
electronic total energy: -78.356 eV per cell

abc: 6.221 6.221 6.221
angles: 90.00 90.00 90.00
Space group F-43m (No. 216)
Symmetry-distinct sites (fractional):
Ta 0.000 0.000 0.000 [4 per cell]
Si 0.250 0.250 0.250 [4 per cell]
Au 0.250 0.250 0.750 [4 per cell]

Question: electronic total energy of number 2 (SrYSi3Au)?
Answer: -253.439 eV per cell